1.
Computed, not measured: a geometry-optimized Lu5Sc structure at the PBE-GGA level of DFT.

a = 4.851 Å, b = 14.568 Å, c = 4.835 Å
α = 90.00°, β = 90.00°, γ = 90.00°
Space group Cmmm (No. 65)
Symmetry-distinct sites (fractional):
Lu: 0.000 0.000 0.000 (multiplicity 2)
Lu: 0.000 0.165 0.500 (multiplicity 4)
Lu: 0.000 0.335 0.000 (multiplicity 4)
Sc: 0.000 0.500 0.500 (multiplicity 2)

Output
- Energy of formation from the pure elements: 45 meV/atom

=====

2.
Computed, not measured: a geometry-optimized LuSc structure at the PBE-GGA level of DFT.

a = 3.426 Å, b = 5.323 Å, c = 5.908 Å
α = 90.00°, β = 90.00°, γ = 90.00°
Space group Pmmn (No. 59, origin choice 2)
Symmetry-distinct sites (fractional):
Lu: 0.250 0.250 0.087 (multiplicity 2)
Sc: 0.250 0.750 0.418 (multiplicity 2)

Output
- Energy of formation from the pure elements: 13 meV/atom
- Energy above the most stable polymorph in this dataset: 0 meV/atom

=====

3.
Computed, not measured: a geometry-optimized LuSc structure at the PBE-GGA level of DFT.

a = 3.781 Å, b = 3.781 Å, c = 3.781 Å
α = 90.00°, β = 90.00°, γ = 90.00°
Space group Pm-3m (No. 221)
Symmetry-distinct sites (fractional):
Lu: 0.000 0.000 0.000 (multiplicity 1)
Sc: 0.500 0.500 0.500 (multiplicity 1)

Output
- Energy of formation from the pure elements: 110 meV/atom
- Energy above the most stable polymorph in this dataset: 97 meV/atom

=====

4.
Computed, not measured: a geometry-optimized LuSc6 structure at the PBE-GGA level of DFT.

a = 7.242 Å, b = 7.242 Å, c = 7.242 Å
α = 90.00°, β = 90.00°, γ = 90.00°
Space group Im-3m (No. 229)
Symmetry-distinct sites (fractional):
Lu: 0.000 0.000 0.000 (multiplicity 2)
Sc: 0.000 0.250 0.500 (multiplicity 12)

Output
- Energy of formation from the pure elements: 1367 meV/atom

=====

5.
Computed, not measured: a geometry-optimized Lu2ScSe structure at the PBE-GGA level of DFT.

a = 3.5666 Å, b = 3.5666 Å, c = 29.8762 Å
α = 90.00°, β = 90.00°, γ = 120.00°
Space group R-3m (No. 166, hexagonal axes)
Symmetry-distinct sites (fractional):
Lu: 0.0000 0.0000 0.1047 (multiplicity 6)
Sc: 0.0000 0.0000 0.0000 (multiplicity 3)
Se: 0.0000 0.0000 0.5000 (multiplicity 3)

Output
- Formation energy (no corrections): -0.4081 eV per atom

=====

6.
Computed, not measured: a geometry-optimized LuScSe structure at the PBE-GGA level of DFT.

a = 3.7091 Å, b = 3.7091 Å, c = 6.1498 Å
α = 90.00°, β = 90.00°, γ = 120.00°
Space group P3m1 (No. 156)
Symmetry-distinct sites (fractional):
Lu: 0.0000 0.0000 0.0000 (multiplicity 1)
Sc: 0.3333 0.6667 0.5697 (multiplicity 1)
Se: 0.6667 0.3333 0.2997 (multiplicity 1)

Output
- Formation energy (no corrections): -1.0283 eV per atom
- Energy above the most stable polymorph in this dataset: 0 meV/atom

=====

7.
Computed, not measured: a geometry-optimized LuScSe structure at the PBE-GGA level of DFT.

a = 3.486 Å, b = 3.486 Å, c = 11.285 Å
α = 90.00°, β = 90.00°, γ = 90.00°
Space group I4mm (No. 107)
Symmetry-distinct sites (fractional):
Lu: 0.000 0.000 0.000 (multiplicity 2)
Sc: 0.000 0.000 0.302 (multiplicity 2)
Se: 0.000 0.000 0.665 (multiplicity 2)

Output
- Formation energy (no corrections): -0.8999 eV per atom
- Energy above the most stable polymorph in this dataset: 128 meV/atom

=====

8.
Computed, not measured: a geometry-optimized LuScSi structure at the PBE-GGA level of DFT.

a = 6.550 Å, b = 6.550 Å, c = 6.550 Å
α = 90.00°, β = 90.00°, γ = 90.00°
Space group F-43m (No. 216)
Symmetry-distinct sites (fractional):
Lu: 0.000 0.000 0.000 (multiplicity 4)
Sc: 0.000 0.000 0.500 (multiplicity 4)
Si: 0.250 0.250 0.750 (multiplicity 4)

Output
- Formation energy (no corrections): -0.4511 eV per atom

=====

9.
Computed, not measured: a geometry-optimized LuScZnSi structure at the PBE-GGA level of DFT.

a = 6.747 Å, b = 6.747 Å, c = 6.747 Å
α = 90.00°, β = 90.00°, γ = 90.00°
Space group F-43m (No. 216)
Symmetry-distinct sites (fractional):
Lu: 0.000 0.000 0.000 (multiplicity 4)
Sc: 0.000 0.000 0.500 (multiplicity 4)
Zn: 0.250 0.250 0.250 (multiplicity 4)
Si: 0.250 0.250 0.750 (multiplicity 4)

Output
- Formation energy (no corrections): -0.4536 eV per atom

=====

10.
Computed, not measured: a geometry-optimized SmLu2Sc structure at the PBE-GGA level of DFT.

a = 3.794 Å, b = 3.794 Å, c = 8.255 Å
α = 90.00°, β = 90.00°, γ = 90.00°
Space group P4/mmm (No. 123)
Symmetry-distinct sites (fractional):
Sm: 0.000 0.000 0.000 (multiplicity 1)
Lu: 0.500 0.500 0.282 (multiplicity 2)
Sc: 0.000 0.000 0.500 (multiplicity 1)

Output
- Energy of formation from the pure elements: 85 meV/atom
- Energy above the most stable polymorph in this dataset: 36 meV/atom

=====

11.
Computed, not measured: a geometry-optimized SmLuSc2 structure at the PBE-GGA level of DFT.

a = 3.850 Å, b = 3.850 Å, c = 7.547 Å
α = 90.00°, β = 90.00°, γ = 90.00°
Space group P4/mmm (No. 123)
Symmetry-distinct sites (fractional):
Sm: 0.000 0.000 0.000 (multiplicity 1)
Lu: 0.000 0.000 0.500 (multiplicity 1)
Sc: 0.500 0.500 0.262 (multiplicity 2)

Output
- Energy of formation from the pure elements: 86 meV/atom
- Energy above the most stable polymorph in this dataset: 29 meV/atom

=====

12.
Computed, not measured: a geometry-optimized SmLu2Sc structure at the PBE-GGA level of DFT.

a = 4.864 Å, b = 4.864 Å, c = 4.922 Å
α = 90.00°, β = 90.00°, γ = 90.00°
Space group P4/mmm (No. 123)
Symmetry-distinct sites (fractional):
Sm: 0.000 0.000 0.000 (multiplicity 1)
Lu: 0.000 0.500 0.500 (multiplicity 2)
Sc: 0.500 0.500 0.000 (multiplicity 1)

Output
- Energy of formation from the pure elements: 49 meV/atom
- Energy above the most stable polymorph in this dataset: 0 meV/atom

=====

| no. | D(E_F) (states/eV/cell) |
| --- | --- |
| 1 | 18.10 |
| 2 | 7.74 |
| 3 | 4.10 |
| 4 | 14.20 |
| 5 | 17.51 |
| 6 | 3.74 |
| 7 | 6.09 |
| 8 | 11.52 |
| 9 | 7.34 |
| 10 | 6.72 |
| 11 | 5.77 |
| 12 | 6.78 |